The following is a DFT calculation (PBE) of an optimized crystal structure of ScBr2Cl.

a = 11.330 Å, b = 11.330 Å, c = 11.330 Å
α = 20.43°, β = 20.43°, γ = 20.43°
Sites, in units of the cell vectors:
Sc (0.000, 0.000, 0.000)
Br (0.072, 0.072, 0.072)
Br (0.928, 0.928, 0.928)
Cl (0.500, 0.500, 0.500)

Values from the calculation:
As for the space group: R-3m. The calculation puts the density of states at the Fermi level at 3.9 states/eV/f.u. The energy above the most stable polymorph in this dataset is 1478 meV per atom.